[1]
VASP calculation (PBE-GGA) on crystalline Mg3ZnRh4 at its relaxed geometry.

DFT formation energy   -451 meV per atom
Total energy   -117.22 eV for the cell shown
Calculated volume   118.2 Å³/f.u.
D(E_F)   4.8 states/eV/f.u.

```
data_Mg3ZnRh4
_symmetry_space_group_name_H-M 'R -3 m'
_symmetry_Int_Tables_number 166
_symmetry_space_group_name_Hall '-R 3 2"'
_cell_length_a 4.3730
_cell_length_b 4.3730
_cell_length_c 21.4082
_cell_angle_alpha 90.00
_cell_angle_beta 90.00
_cell_angle_gamma 120.00
loop_
_atom_site_label
_atom_site_type_symbol
_atom_site_fract_x
_atom_site_fract_y
_atom_site_fract_z
Mg1 Mg 0.0000 0.0000 0.0000
Mg2 Mg 0.0000 0.0000 0.2502
Zn1 Zn 0.0000 0.0000 0.5000
Rh1 Rh 0.0000 0.0000 0.1270
Rh2 Rh 0.0000 0.0000 0.3769
```

[2]
VASP calculation (PBE-GGA) on crystalline MgZn4Rh at its relaxed geometry.

DFT formation energy   -166 meV per atom
Total energy   -30.08 eV for the cell shown
Calculated volume   109.4 Å³/f.u.
D(E_F)   2.3 states/eV/f.u.
ΔE to the lowest computed polymorph   66.5 meV per atom

```
data_MgZn4Rh
_symmetry_space_group_name_H-M 'P 1 21/m 1'
_symmetry_Int_Tables_number 11
_cell_length_a 4.5535
_cell_length_b 8.7344
_cell_length_c 5.5009
_cell_angle_alpha 90.00
_cell_angle_beta 90.23
_cell_angle_gamma 90.00
loop_
_symmetry_equiv_pos_as_xyz
'x,y,z'
'-x,-y,-z'
'-x,y+1/2,-z'
'x,-y+1/2,z'
loop_
_atom_site_label
_atom_site_type_symbol
_atom_site_fract_x
_atom_site_fract_y
_atom_site_fract_z
Mg1 Mg 0.0042 0.2500 0.2360
Zn1 Zn 0.0030 0.2500 0.7527
Zn2 Zn 0.4949 0.7500 0.4937
Zn3 Zn 0.4975 0.5021 0.7566
Rh1 Rh 0.4966 0.7500 0.0049
```

[3]
VASP calculation (PBE-GGA) on crystalline MgZnRh at its relaxed geometry.

DFT formation energy   -419 meV per atom
Total energy   -45.91 eV for the cell shown
Calculated volume   45.2 Å³/f.u.
D(E_F)   0.9 states/eV/f.u.

```
data_MgZnRh
_symmetry_space_group_name_H-M 'A m m 2'
_symmetry_Int_Tables_number 38
_cell_length_a 4.3007
_cell_length_b 3.1410
_cell_length_c 13.3961
_cell_angle_alpha 90.00
_cell_angle_beta 90.00
_cell_angle_gamma 90.00
loop_
_symmetry_equiv_pos_as_xyz
'x,y,z'
'-x,-y,z'
'-x,y,z'
'x,-y,z'
'x,y+1/2,z+1/2'
'-x,-y+1/2,z+1/2'
'-x,y+1/2,z+1/2'
'x,-y+1/2,z+1/2'
loop_
_atom_site_label
_atom_site_type_symbol
_atom_site_fract_x
_atom_site_fract_y
_atom_site_fract_z
Mg1 Mg 0.0000 0.0000 0.0000
Mg2 Mg 0.0000 0.0000 0.3186
Zn1 Zn 0.5000 0.0000 0.1913
Zn2 Zn 0.5000 0.0000 0.5253
Rh1 Rh 0.0000 0.0000 0.6579
Rh2 Rh 0.5000 0.0000 0.8618
```

[4]
VASP calculation (PBE-GGA) on crystalline Mg3Zn4Rh2 at its relaxed geometry.

DFT formation energy   -344 meV per atom
Total energy   -55.36 eV for the cell shown
Calculated volume   138.3 Å³/f.u.
D(E_F)   2.9 states/eV/f.u.

```
data_Mg3Zn4Rh2
_symmetry_space_group_name_H-M 'C 1 2/m 1'
_symmetry_Int_Tables_number 12
_cell_length_a 9.0687
_cell_length_b 3.9193
_cell_length_c 8.3719
_cell_angle_alpha 90.00
_cell_angle_beta 111.67
_cell_angle_gamma 90.00
loop_
_symmetry_equiv_pos_as_xyz
'x,y,z'
'-x,-y,-z'
'-x,y,-z'
'x,-y,z'
'x+1/2,y+1/2,z'
'-x+1/2,-y+1/2,-z'
'-x+1/2,y+1/2,-z'
'x+1/2,-y+1/2,z'
loop_
_atom_site_label
_atom_site_type_symbol
_atom_site_fract_x
_atom_site_fract_y
_atom_site_fract_z
Mg1 Mg 0.0000 0.0000 0.0000
Mg2 Mg 0.1787 0.5000 0.5703
Zn1 Zn 0.0106 0.0000 0.6761
Zn2 Zn 0.1693 0.5000 0.8927
Rh1 Rh 0.1532 0.5000 0.2152
```

[5]
VASP calculation (PBE-GGA) on crystalline Mg17Zn11Rh at its relaxed geometry.

DFT formation energy   -118 meV per atom
Total energy   -103.76 eV for the cell shown
Calculated volume   543.2 Å³/f.u.
D(E_F)   9.6 states/eV/f.u.

```
data_Mg17Zn11Rh
_symmetry_space_group_name_H-M 'C 1 m 1'
_symmetry_Int_Tables_number 8
_cell_length_a 10.2111
_cell_length_b 14.0787
_cell_length_c 8.7759
_cell_angle_alpha 90.00
_cell_angle_beta 120.56
_cell_angle_gamma 90.00
loop_
_symmetry_equiv_pos_as_xyz
'x,y,z'
'x,-y,z'
'x+1/2,y+1/2,z'
'x+1/2,-y+1/2,z'
loop_
_atom_site_label
_atom_site_type_symbol
_atom_site_fract_x
_atom_site_fract_y
_atom_site_fract_z
Mg1 Mg 0.0000 0.0000 0.0000
Mg2 Mg 0.0024 0.3646 0.3700
Mg3 Mg 0.1508 0.1728 0.5762
Mg4 Mg 0.1690 0.5000 0.2860
Mg5 Mg 0.1717 0.1760 0.9988
Mg6 Mg 0.1827 0.5000 0.6952
Mg7 Mg 0.2781 0.2962 0.3283
Mg8 Mg 0.3650 0.0000 0.6517
Mg9 Mg 0.4445 0.1227 0.9883
Mg10 Mg 0.4864 0.5000 0.3599
Mg11 Mg 0.4892 0.1949 0.6920
Zn1 Zn 0.1681 0.0000 0.7947
Zn2 Zn 0.2263 0.0938 0.3266
Zn3 Zn 0.2291 0.4062 0.0171
Zn4 Zn 0.3245 0.3113 0.8298
Zn5 Zn 0.4054 0.4054 0.6332
Zn6 Zn 0.4825 0.3065 0.1841
Rh1 Rh 0.3221 0.0000 0.1337
```

[6]
VASP calculation (PBE-GGA) on crystalline Mg2Zn2Rh at its relaxed geometry.

DFT formation energy   227 meV per atom
Total energy   -23.91 eV for the cell shown
Calculated volume   86.8 Å³/f.u.
D(E_F)   2.7 states/eV/f.u.
ΔE to the lowest computed polymorph   542.9 meV per atom

```
data_Mg2Zn2Rh
_symmetry_space_group_name_H-M 'I 4/m m m'
_symmetry_Int_Tables_number 139
_symmetry_space_group_name_Hall '-I 4 2'
_cell_length_a 3.7656
_cell_length_b 3.7656
_cell_length_c 12.2456
_cell_angle_alpha 90.00
_cell_angle_beta 90.00
_cell_angle_gamma 90.00
loop_
_atom_site_label
_atom_site_type_symbol
_atom_site_fract_x
_atom_site_fract_y
_atom_site_fract_z
Mg1 Mg 0.0000 0.5000 0.2500
Zn1 Zn 0.0000 0.0000 0.0933
Rh1 Rh 0.0000 0.0000 0.5000
```

[7]
VASP calculation (PBE-GGA) on crystalline MgZn2Rh2 at its relaxed geometry.

DFT formation energy   -362 meV per atom
Total energy   -41.31 eV for the cell shown
Calculated volume   77.1 Å³/f.u.
D(E_F)   2.2 states/eV/f.u.
ΔE to the lowest computed polymorph   28.9 meV per atom

```
data_MgZn2Rh2
_symmetry_space_group_name_H-M 'P 4/m b m'
_symmetry_Int_Tables_number 127
_symmetry_space_group_name_Hall '-P 4 2ab'
_cell_length_a 6.9884
_cell_length_b 6.9884
_cell_length_c 3.1572
_cell_angle_alpha 90.00
_cell_angle_beta 90.00
_cell_angle_gamma 90.00
loop_
_atom_site_label
_atom_site_type_symbol
_atom_site_fract_x
_atom_site_fract_y
_atom_site_fract_z
Mg1 Mg 0.0000 0.0000 0.0000
Zn1 Zn 0.1542 0.3458 0.5000
Rh1 Rh 0.1430 0.6430 0.0000
```

[8]
VASP calculation (PBE-GGA) on crystalline MgZn2Rh at its relaxed geometry.

DFT formation energy   -391 meV per atom
Total energy   -26.12 eV for the cell shown
Calculated volume   59.0 Å³/f.u.
D(E_F)   0.9 states/eV/f.u.

```
data_MgZn2Rh
_symmetry_space_group_name_H-M 'I m m m'
_symmetry_Int_Tables_number 71
_symmetry_space_group_name_Hall '-I 2 2'
_cell_length_a 3.7610
_cell_length_b 3.7855
_cell_length_c 8.2823
_cell_angle_alpha 90.00
_cell_angle_beta 90.00
_cell_angle_gamma 90.00
loop_
_atom_site_label
_atom_site_type_symbol
_atom_site_fract_x
_atom_site_fract_y
_atom_site_fract_z
Mg1 Mg 0.0000 0.0000 0.0000
Zn1 Zn 0.0000 0.5000 0.2496
Rh1 Rh 0.0000 0.0000 0.5000
```

[9]
VASP calculation (PBE-GGA) on crystalline MgZn4Rh at its relaxed geometry.

DFT formation energy   -222 meV per atom
Total energy   -30.75 eV for the cell shown
Calculated volume   94.7 Å³/f.u.
D(E_F)   2.3 states/eV/f.u.
ΔE to the lowest computed polymorph   10.2 meV per atom

```
data_MgZn4Rh
_symmetry_space_group_name_H-M 'P m m a'
_symmetry_Int_Tables_number 51
_cell_length_a 8.7272
_cell_length_b 2.9782
_cell_length_c 7.2906
_cell_angle_alpha 90.00
_cell_angle_beta 90.00
_cell_angle_gamma 90.00
loop_
_symmetry_equiv_pos_as_xyz
'x,y,z'
'-x,-y,-z'
'-x+1/2,-y,z'
'x+1/2,y,-z'
'x+1/2,-y,-z'
'-x+1/2,y,z'
'-x,y,-z'
'x,-y,z'
loop_
_atom_site_label
_atom_site_type_symbol
_atom_site_fract_x
_atom_site_fract_y
_atom_site_fract_z
Mg1 Mg 0.2500 0.0000 0.0514
Zn1 Zn 0.0000 0.0000 0.5000
Zn2 Zn 0.0307 0.5000 0.8200
Zn3 Zn 0.2500 0.5000 0.3826
Rh1 Rh 0.2500 0.0000 0.6802
```

[10]
VASP calculation (PBE-GGA) on crystalline MgZnRh at its relaxed geometry.

DFT formation energy   -413 meV per atom
Total energy   -22.92 eV for the cell shown
Calculated volume   46.3 Å³/f.u.
D(E_F)   1.1 states/eV/f.u.

```
data_MgZnRh
_symmetry_space_group_name_H-M 'I 4 m m'
_symmetry_Int_Tables_number 107
_symmetry_space_group_name_Hall 'I 4 -2'
_cell_length_a 3.1480
_cell_length_b 3.1480
_cell_length_c 9.3349
_cell_angle_alpha 90.00
_cell_angle_beta 90.00
_cell_angle_gamma 90.00
loop_
_atom_site_label
_atom_site_type_symbol
_atom_site_fract_x
_atom_site_fract_y
_atom_site_fract_z
Mg1 Mg 0.0000 0.0000 0.0000
Zn1 Zn 0.0000 0.0000 0.6912
Rh1 Rh 0.0000 0.0000 0.3335
```

[11]
VASP calculation (PBE-GGA) on crystalline MgZnRh at its relaxed geometry.

DFT formation energy   -341 meV per atom
Total energy   -11.24 eV for the cell shown
Calculated volume   46.0 Å³/f.u.
D(E_F)   1.2 states/eV/f.u.

```
data_MgZnRh
_symmetry_space_group_name_H-M 'P 3 m 1'
_symmetry_Int_Tables_number 156
_cell_length_a 4.2767
_cell_length_b 4.2767
_cell_length_c 2.9068
_cell_angle_alpha 90.00
_cell_angle_beta 90.00
_cell_angle_gamma 120.00
loop_
_symmetry_equiv_pos_as_xyz
'x,y,z'
'-y,x-y,z'
'-x+y,-x,z'
'-y,-x,z'
'-x+y,y,z'
'x,x-y,z'
loop_
_atom_site_label
_atom_site_type_symbol
_atom_site_fract_x
_atom_site_fract_y
_atom_site_fract_z
Mg1 Mg 0.0000 0.0000 0.0000
Zn1 Zn 0.6667 0.3333 0.6574
Rh1 Rh 0.3333 0.6667 0.3980
```

[12]
VASP calculation (PBE-GGA) on crystalline Mg6Zn2Rh at its relaxed geometry.

DFT formation energy   -53 meV per atom
Total energy   -39.88 eV for the cell shown
Calculated volume   197.1 Å³/f.u.
D(E_F)   4.1 states/eV/f.u.

```
data_Mg6Zn2Rh
_symmetry_space_group_name_H-M 'C 1 2/m 1'
_symmetry_Int_Tables_number 12
_cell_length_a 14.3444
_cell_length_b 6.4557
_cell_length_c 4.4790
_cell_angle_alpha 90.00
_cell_angle_beta 108.09
_cell_angle_gamma 90.00
loop_
_symmetry_equiv_pos_as_xyz
'x,y,z'
'-x,-y,-z'
'-x,y,-z'
'x,-y,z'
'x+1/2,y+1/2,z'
'-x+1/2,-y+1/2,-z'
'-x+1/2,y+1/2,-z'
'x+1/2,-y+1/2,z'
loop_
_atom_site_label
_atom_site_type_symbol
_atom_site_fract_x
_atom_site_fract_y
_atom_site_fract_z
Mg1 Mg 0.0000 0.2328 0.0000
Mg2 Mg 0.1592 0.2400 0.6589
Zn1 Zn 0.1675 0.5000 0.1671
Rh1 Rh 0.0000 0.0000 0.5000
```